LaAs2Ru | PBE | optimized geometry

Cell lengths 4.234, 4.234, 9.134 Å; angles 90.00, 90.00, 90.00 degrees
Space group I-4m2 (No. 119)
Symmetry-distinct sites (fractional):
La: 0.000 0.000 0.000 x2
As: 0.000 0.000 0.500 x2
As: 0.000 0.500 0.250 x2
Ru: 0.000 0.500 0.750 x2

Properties
Size of the total moment: 0.0 μB/f.u.
Volume: 20.46 Å³ per atom
N(E_F): 6.00 states/eV per cell
Calculated formation energy: -0.19 eV/atom
Uncorrected energy: -6.064 eV per atom

---

Sr2IrO3 | PBE | optimized geometry

Cell lengths 5.479, 11.514, 12.126 Å; angles 90.00, 94.63, 90.00 degrees
Space group C2/c (No. 15)
Symmetry-distinct sites (fractional):
Sr: 0.230 0.105 0.435 x8
Sr: 0.234 0.201 0.851 x8
Ir: 0.171 0.496 0.321 x8
O: 0.000 0.034 0.750 x4
O: 0.000 0.358 0.750 x4
O: 0.222 0.319 0.373 x8
O: 0.240 0.093 0.033 x8

Properties
Uncorrected formation energy: -1.77 eV per atom
Size of the total moment: 0.0 μB/f.u.
Volume: 15.89 Å³ per atom
N(E_F): 17.20 states/eV per cell
Uncorrected energy: -6.283 eV per atom

---

Ca2MgCd2Ag5 | PBE | optimized geometry

Cell lengths 10.492, 10.492, 4.109 Å; angles 90.00, 90.00, 90.00 degrees
Space group P4/mbm (No. 127)
Symmetry-distinct sites (fractional):
Ca: 0.172 0.328 0.000 x4
Mg: 0.000 0.000 0.000 x2
Cd: 0.127 0.627 0.000 x4
Ag: 0.000 0.500 0.500 x2
Ag: 0.055 0.808 0.500 x8

Properties
Size of the total moment: 0.0 μB/f.u.
Volume: 22.62 Å³ per atom
N(E_F): 7.74 states/eV per cell
Calculated formation energy: -0.18 eV/atom
Uncorrected energy: -2.349 eV per atom

---

The lowest uncorrected energy belongs to which entry?
Sr2IrO3